The following is a PBE-GGA calculation of a geometry-optimized Cr2TeHC structure, from Alexandria via LeMat-Bulk.

Calculated values
Calculated volume: 69.0 Å³ per cell
Magnetization: 0.0 Bohr magnetons per cell
VASP energy: -29.18 eV per cell
Space group: P4/mmm
Theoretical density: 5.9 Mg/m³

```
Cr2TeHC
1.0
3.808 0.000 0.000
0.000 3.808 0.000
0.000 0.000 4.762
Cr Te H C
2 1 1 1
Direct
0.000 0.500 0.000
0.500 0.000 0.000
0.000 0.000 0.500
0.500 0.500 0.500
0.000 0.000 0.000
```

---

The following is a PBE-GGA calculation of a geometry-optimized Hf2CrC structure, from Alexandria via LeMat-Bulk.

Calculated values
Calculated volume: 214.1 Å³ per cell
Magnetization: 10.2 Bohr magnetons per cell
VASP energy: -115.48 eV per cell
Space group: R-3m
Theoretical density: 9.8 Mg/m³
ΔH_f (0 K): 65 meV/atom

```
Hf2CrC
1.0
3.209 0.000 0.000
-1.604 2.779 0.000
0.000 0.000 24.013
Hf Cr C
6 3 3
Direct
0.000 0.000 0.114
0.000 0.000 0.886
0.333 0.667 0.552
0.333 0.667 0.781
0.667 0.333 0.219
0.667 0.333 0.448
0.000 0.000 0.000
0.333 0.667 0.667
0.667 0.333 0.333
0.000 0.000 0.500
0.333 0.667 0.167
0.667 0.333 0.833
```